3
Lattice="5.523 0.000 0.000 -2.761 4.783 0.000 0.000 0.000 3.453" Properties=species:S:1:pos:R:3 comment="PrDyMg PBE optimized geometry" ef_ev_per_atom=0.039 pbc="T T T"
Pr 0.000 0.000 0.000
Dy 2.761 1.594 1.957
Mg 0.000 3.189 1.058



3
Lattice="0.000 2.237 6.486 1.769 0.000 6.486 1.769 2.237 0.000" Properties=species:S:1:pos:R:3 comment="TaFeHg PBE optimized geometry" ef_ev_per_atom=0.339 pbc="T T T"
Ta 0.000 0.000 0.000
Fe 1.769 2.237 8.369
Hg 1.769 2.237 4.054



## Zn2Cu12Si (PBE)

Data for crystalline Zn2Cu12Si at its relaxed geometry.

Cell and atoms, written as extended XYZ:
```
30
Lattice="4.871 0.000 0.000 0.000 4.871 0.000 0.000 0.000 17.235" Properties=species:S:1:pos:R:3 pbc="T T T"
Zn 1.218 3.653 3.920
Zn 1.218 3.653 13.315
Zn 3.653 1.218 3.920
Zn 3.653 1.218 13.315
Cu 4.870 0.001 6.944
Cu 0.001 4.870 10.292
Cu 0.001 2.437 6.944
Cu 4.870 2.435 10.292
Cu 0.368 2.803 1.082
Cu 0.368 4.503 16.154
Cu 1.218 1.218 2.786
Cu 1.218 1.218 5.129
Cu 1.218 1.218 12.106
Cu 1.218 1.218 14.450
Cu 2.068 2.803 16.154
Cu 2.068 4.503 1.082
Cu 2.435 4.870 6.944
Cu 2.437 0.001 10.292
Cu 2.437 2.435 6.944
Cu 2.435 2.437 10.292
Cu 2.803 0.368 16.154
Cu 2.803 2.068 1.082
Cu 3.653 3.653 2.786
Cu 3.653 3.653 5.129
Cu 3.653 3.653 12.106
Cu 3.653 3.653 14.450
Cu 4.503 0.368 1.082
Cu 4.503 2.068 16.154
Si 1.218 3.653 8.618
Si 3.653 1.218 8.618
```



5
Lattice="5.442 0.000 0.000 0.000 5.442 0.000 0.000 0.000 5.763" Properties=species:S:1:pos:R:3 comment="KLi2CaAg PBE optimized geometry" ef_ev_per_atom=0.068 pbc="T T T"
K 0.000 0.000 0.000
Li 0.000 2.721 2.881
Li 2.721 0.000 2.881
Ca 2.721 2.721 0.000
Ag 2.721 2.721 2.881



10
Lattice="8.327 0.000 0.000 0.000 8.327 0.000 0.000 0.000 3.411" Properties=species:S:1:pos:R:3 comment="Li2Y2Ti PBE optimized geometry" ef_ev_per_atom=0.358 pbc="T T T"
Li 0.887 3.277 0.000
Li 3.277 7.440 0.000
Li 5.050 0.887 0.000
Li 7.440 5.050 0.000
Y 1.624 5.788 1.705
Y 2.539 1.624 1.705
Y 5.788 6.703 1.705
Y 6.703 2.539 1.705
Ti 0.000 0.000 0.000
Ti 4.164 4.164 0.000



## YTlCl2 (PBE)

Data for crystalline YTlCl2 at its relaxed geometry.

Cell and atoms, written as extended XYZ:
```
8
Lattice="-2.473 2.473 9.328 2.473 -2.473 9.328 2.473 2.473 -9.328" Properties=species:S:1:pos:R:3 pbc="T T T"
Y 0.000 0.000 0.000
Y 0.000 2.473 4.664
Tl 2.473 0.000 4.664
Tl 0.000 0.000 9.328
Cl 3.710 0.962 -2.332
Cl 0.962 1.237 2.332
Cl -1.237 1.511 6.996
Cl 1.511 1.237 11.660
```



4
Lattice="0.000 3.438 3.438 3.438 0.000 3.438 3.438 3.438 0.000" Properties=species:S:1:pos:R:3 comment="TmNpIrPt PBE optimized geometry" ef_ev_per_atom=-0.665 pbc="T T T"
Tm 0.000 0.000 0.000
Np 3.438 3.438 3.438
Ir 1.719 1.719 1.719
Pt 5.157 5.157 5.157



## AcSi2Pt3 (PBE)

Data for crystalline AcSi2Pt3 at its relaxed geometry.

Cell and atoms, written as extended XYZ:
```
6
Lattice="5.734 -2.150 0.000 5.734 2.150 0.000 -1.124 0.000 4.813" Properties=species:S:1:pos:R:3 pbc="T T T"
Ac 0.000 0.000 0.000
Si 3.287 0.000 0.927
Si 7.056 0.000 3.886
Pt 2.351 0.000 3.342
Pt 5.171 0.000 2.407
Pt 7.992 0.000 1.472
```



4
Lattice="0.000 3.457 3.457 3.457 0.000 3.457 3.457 3.457 0.000" Properties=species:S:1:pos:R:3 comment="LiLuPuMn PBE optimized geometry" ef_ev_per_atom=0.146 pbc="T T T"
Li 0.000 0.000 0.000
Lu 5.185 5.185 5.185
Pu 1.728 1.728 1.728
Mn 3.457 3.457 3.457



7
Lattice="-3.494 3.494 3.494 3.494 -3.494 3.494 3.494 3.494 -3.494" Properties=species:S:1:pos:R:3 comment="Pd6Au PBE optimized geometry" ef_ev_per_atom=1.094 pbc="T T T"
Pd 3.494 1.747 0.000
Pd 3.494 0.000 1.747
Pd 1.747 3.494 0.000
Pd 1.747 0.000 3.494
Pd 0.000 3.494 1.747
Pd 0.000 1.747 3.494
Au 0.000 0.000 0.000



## TbHo2Tm3Sb6 (PBE)

Data for crystalline TbHo2Tm3Sb6 at its relaxed geometry.

Cell and atoms, written as extended XYZ:
```
12
Lattice="9.494 -2.178 0.000 9.494 2.178 0.000 -1.989 0.000 8.484" Properties=species:S:1:pos:R:3 pbc="T T T"
Tb 0.000 0.000 0.000
Ho 5.001 0.000 5.656
Ho 11.998 0.000 2.828
Tm -0.995 0.000 4.242
Tm 6.004 0.000 1.416
Tm 10.996 0.000 7.067
Sb 1.992 0.000 4.959
Sb 3.024 0.000 0.699
Sb 8.985 0.000 2.146
Sb 8.014 0.000 6.338
Sb 13.975 0.000 7.785
Sb 15.007 0.000 3.525
```



## Mg5Cl (PBE)

Data for crystalline Mg5Cl at its relaxed geometry.

Cell and atoms, written as extended XYZ:
```
6
Lattice="5.449 0.000 0.000 -2.724 4.719 0.000 0.000 0.000 5.512" Properties=species:S:1:pos:R:3 pbc="T T T"
Mg -1.811 3.136 0.000
Mg 0.000 3.146 2.756
Mg 0.914 1.583 0.000
Mg 3.621 0.000 0.000
Mg 2.724 1.573 2.756
Cl 0.000 0.000 2.756
```



Number 1: uncorrected energy -3.6197 eV per atom, N(E_F) 3.950 states/eV/f.u.. Number 2: uncorrected energy -6.5334 eV per atom, N(E_F) 2.582 states/eV/f.u.. Number 3: uncorrected energy -3.6402 eV per atom, N(E_F) 4.346 states/eV/f.u.. Number 4: uncorrected energy -1.8878 eV per atom, N(E_F) 3.406 states/eV/f.u.. Number 5: uncorrected energy -4.5720 eV per atom, N(E_F) 4.951 states/eV/f.u.. Number 6: uncorrected energy -4.1474 eV per atom, N(E_F) 3.593 states/eV/f.u.. Number 7: uncorrected energy -8.7437 eV per atom, N(E_F) 8.397 states/eV/f.u.. Number 8: uncorrected energy -6.5013 eV per atom, N(E_F) 2.008 states/eV/f.u.. Number 9: uncorrected energy -7.3376 eV per atom, N(E_F) 5.776 states/eV/f.u.. Number 10: uncorrected energy -3.8253 eV per atom, N(E_F) 14.146 states/eV/f.u.. Number 11: uncorrected energy -5.4243 eV per atom, N(E_F) 1.901 states/eV/f.u.. Number 12: uncorrected energy -1.7225 eV per atom, N(E_F) 3.123 states/eV/f.u..